ScCr2Ru2 | PBE | relaxed Values from VASP.

```
&SYSTEM
  ibrav = 0, nat = 10, ntyp = 3
/
ATOMIC_SPECIES
Sc 44.96 Sc.upf
Ru 101.07 Ru.upf
Cr 52.00 Cr.upf
ATOMIC_POSITIONS crystal
Sc 0.0000 0.0000 0.0000
Sc 0.5000 0.5000 0.0000
Ru 0.1498 0.6498 0.5000
Ru 0.6498 0.8502 0.5000
Ru 0.8502 0.3502 0.5000
Ru 0.3502 0.1498 0.5000
Cr 0.3552 0.8552 0.0000
Cr 0.8552 0.6448 0.0000
Cr 0.6448 0.1448 0.0000
Cr 0.1448 0.3552 0.0000
CELL_PARAMETERS angstrom
7.2617 0.0000 0.0000
0.0000 7.2617 0.0000
0.0000 0.0000 2.7628
```

Properties
For the total energy, the calculation gives -8.761 eV/atom. The value obtained for the energy of formation is 0.065 eV/atom. Its space group is P4/mbm, No. 127. The theoretical density is 8.0 g cm⁻³.